Entry 1:
# TaTiNbIr (PBE, relaxed)
# E = -10.154 eV/atom
data_TaTiNbIr
_chemical_formula_sum 'Ta4 Ti4 Nb4 Ir4'
_symmetry_space_group_name_H-M 'F -4 3 m'
_symmetry_Int_Tables_number 216
_symmetry_space_group_name_Hall 'F -4 2 3'
_cell_length_a 6.398
_cell_length_b 6.398
_cell_length_c 6.398
_cell_angle_alpha 90.00
_cell_angle_beta 90.00
_cell_angle_gamma 90.00
loop_
_atom_site_label
_atom_site_fract_x
_atom_site_fract_y
_atom_site_fract_z
Ta1 0.000 0.000 0.000
Ti1 0.000 0.000 0.500
Nb1 0.250 0.250 0.250
Ir1 0.250 0.250 0.750



Entry 2:
# Ta2Ti5NbIr2 (PBE, relaxed)
# E = -9.240 eV/atom
data_Ta2Ti5NbIr2
_chemical_formula_sum 'Ta4 Ti10 Nb2 Ir4'
_symmetry_space_group_name_H-M 'P 4/m b m'
_symmetry_Int_Tables_number 127
_symmetry_space_group_name_Hall '-P 4 2ab'
_cell_length_a 10.214
_cell_length_b 10.214
_cell_length_c 3.345
_cell_angle_alpha 90.00
_cell_angle_beta 90.00
_cell_angle_gamma 90.00
loop_
_atom_site_label
_atom_site_fract_x
_atom_site_fract_y
_atom_site_fract_z
Ta1 0.179 0.321 0.000
Ti1 0.000 0.500 0.500
Ti2 0.050 0.799 0.500
Nb1 0.000 0.000 0.000
Ir1 0.132 0.632 0.000



Entry 3:
# UTaNbIr (PBE, relaxed)
# E = -10.460 eV/atom
data_UTaNbIr
_chemical_formula_sum 'U4 Ta4 Nb4 Ir4'
_symmetry_space_group_name_H-M 'F -4 3 m'
_symmetry_Int_Tables_number 216
_symmetry_space_group_name_Hall 'F -4 2 3'
_cell_length_a 6.602
_cell_length_b 6.602
_cell_length_c 6.602
_cell_angle_alpha 90.00
_cell_angle_beta 90.00
_cell_angle_gamma 90.00
loop_
_atom_site_label
_atom_site_fract_x
_atom_site_fract_y
_atom_site_fract_z
U1 0.000 0.000 0.000
Ta1 0.250 0.250 0.750
Nb1 0.250 0.250 0.250
Ir1 0.000 0.000 0.500



Entry 4:
# TaNbVIr (PBE, relaxed)
# E = -10.316 eV/atom
data_TaNbVIr
_chemical_formula_sum 'Ta4 Nb4 V4 Ir4'
_symmetry_space_group_name_H-M 'F -4 3 m'
_symmetry_Int_Tables_number 216
_symmetry_space_group_name_Hall 'F -4 2 3'
_cell_length_a 6.334
_cell_length_b 6.334
_cell_length_c 6.334
_cell_angle_alpha 90.00
_cell_angle_beta 90.00
_cell_angle_gamma 90.00
loop_
_atom_site_label
_atom_site_fract_x
_atom_site_fract_y
_atom_site_fract_z
Ta1 0.000 0.000 0.000
Nb1 0.250 0.250 0.750
V1 0.000 0.000 0.500
Ir1 0.250 0.250 0.250



Entry 5:
# TaNbIrW (PBE, relaxed)
# E = -11.192 eV/atom
data_TaNbIrW
_chemical_formula_sum 'Ta4 Nb4 Ir4 W4'
_symmetry_space_group_name_H-M 'F -4 3 m'
_symmetry_Int_Tables_number 216
_symmetry_space_group_name_Hall 'F -4 2 3'
_cell_length_a 6.440
_cell_length_b 6.440
_cell_length_c 6.440
_cell_angle_alpha 90.00
_cell_angle_beta 90.00
_cell_angle_gamma 90.00
loop_
_atom_site_label
_atom_site_fract_x
_atom_site_fract_y
_atom_site_fract_z
Ta1 0.000 0.000 0.000
Nb1 0.000 0.000 0.500
Ir1 0.250 0.250 0.250
W1 0.250 0.250 0.750



Entry 6:
# TbNb2Ir2 (PBE, relaxed)
# E = -9.050 eV/atom
data_TbNb2Ir2
_chemical_formula_sum 'Tb2 Nb4 Ir4'
_symmetry_space_group_name_H-M 'I 4/m m m'
_symmetry_Int_Tables_number 139
_symmetry_space_group_name_Hall '-I 4 2'
_cell_length_a 4.453
_cell_length_b 4.453
_cell_length_c 10.475
_cell_angle_alpha 90.00
_cell_angle_beta 90.00
_cell_angle_gamma 90.00
loop_
_atom_site_label
_atom_site_fract_x
_atom_site_fract_y
_atom_site_fract_z
Tb1 0.000 0.000 0.000
Nb1 0.000 0.500 0.250
Ir1 0.000 0.000 0.376



Entry 7:
# TbTiNbIr2 (PBE, relaxed)
# E = -8.763 eV/atom
data_TbTiNbIr2
_chemical_formula_sum 'Tb2 Ti2 Nb2 Ir4'
_symmetry_space_group_name_H-M 'I -4 m 2'
_symmetry_Int_Tables_number 119
_symmetry_space_group_name_Hall 'I -4 -2'
_cell_length_a 4.359
_cell_length_b 4.359
_cell_length_c 10.584
_cell_angle_alpha 90.00
_cell_angle_beta 90.00
_cell_angle_gamma 90.00
loop_
_atom_site_label
_atom_site_fract_x
_atom_site_fract_y
_atom_site_fract_z
Tb1 0.000 0.000 0.000
Ti1 0.000 0.500 0.250
Nb1 0.000 0.500 0.750
Ir1 0.000 0.000 0.378



Entry 8:
# Nb2TcIr9 (PBE, relaxed)
# E = -9.180 eV/atom
data_Nb2TcIr9
_chemical_formula_sum 'Nb2 Tc1 Ir9'
_symmetry_space_group_name_H-M 'P 1'
_symmetry_Int_Tables_number 1
_cell_length_a 5.625
_cell_length_b 5.824
_cell_length_c 7.123
_cell_angle_alpha 113.16
_cell_angle_beta 101.99
_cell_angle_gamma 103.36
loop_
_symmetry_equiv_pos_as_xyz
'x,y,z'
loop_
_atom_site_label
_atom_site_fract_x
_atom_site_fract_y
_atom_site_fract_z
Nb1 0.000 0.000 0.000
Nb2 0.290 0.332 0.651
Tc1 0.446 0.463 0.320
Ir1 0.163 0.593 0.025
Ir2 0.302 0.777 0.621
Ir3 0.479 0.022 0.036
Ir4 0.493 0.003 0.396
Ir5 0.657 0.656 0.063
Ir6 0.699 0.215 0.825
Ir7 0.861 0.492 0.631
Ir8 0.896 0.919 0.579
Ir9 0.917 0.439 0.258



Entry 9:
# Nb2TcIr (PBE, relaxed)
# E = -10.142 eV/atom
data_Nb2TcIr
_chemical_formula_sum 'Nb2 Tc1 Ir1'
_symmetry_space_group_name_H-M 'P 4/m m m'
_symmetry_Int_Tables_number 123
_symmetry_space_group_name_Hall '-P 4 2'
_cell_length_a 3.274
_cell_length_b 3.274
_cell_length_c 6.122
_cell_angle_alpha 90.00
_cell_angle_beta 90.00
_cell_angle_gamma 90.00
loop_
_atom_site_label
_atom_site_fract_x
_atom_site_fract_y
_atom_site_fract_z
Nb1 0.000 0.000 0.247
Tc1 0.500 0.500 0.000
Ir1 0.500 0.500 0.500



Entry 10:
# NbTcIr3 (PBE, relaxed)
# energy above the most stable polymorph in this dataset = 0 meV/atom
data_NbTcIr3
_chemical_formula_sum 'Nb2 Tc2 Ir6'
_symmetry_space_group_name_H-M 'C 1 m 1'
_symmetry_Int_Tables_number 8
_cell_length_a 9.198
_cell_length_b 2.769
_cell_length_c 6.837
_cell_angle_alpha 90.00
_cell_angle_beta 119.12
_cell_angle_gamma 90.00
loop_
_symmetry_equiv_pos_as_xyz
'x,y,z'
'x,-y,z'
'x+1/2,y+1/2,z'
'x+1/2,-y+1/2,z'
loop_
_atom_site_label
_atom_site_fract_x
_atom_site_fract_y
_atom_site_fract_z
Nb1 0.000 0.000 0.000
Tc1 0.111 0.500 0.423
Ir1 0.202 0.000 0.806
Ir2 0.303 0.500 0.209
Ir3 0.394 0.000 0.589



Entry 11:
# NbTc3Ir (PBE, relaxed)
# energy above the most stable polymorph in this dataset = 341 meV/atom
data_NbTc3Ir
_chemical_formula_sum 'Nb1 Tc3 Ir1'
_symmetry_space_group_name_H-M 'P m -3 m'
_symmetry_Int_Tables_number 221
_symmetry_space_group_name_Hall '-P 4 2 3'
_cell_length_a 4.609
_cell_length_b 4.609
_cell_length_c 4.609
_cell_angle_alpha 90.00
_cell_angle_beta 90.00
_cell_angle_gamma 90.00
loop_
_atom_site_label
_atom_site_fract_x
_atom_site_fract_y
_atom_site_fract_z
Nb1 0.000 0.000 0.000
Tc1 0.000 0.000 0.500
Ir1 0.500 0.500 0.500



Entry 12:
# Nb2TcIr (PBE, relaxed)
# E = -8.672 eV/atom
data_Nb2TcIr
_chemical_formula_sum 'Nb8 Tc4 Ir4'
_symmetry_space_group_name_H-M 'I -4 2 d'
_symmetry_Int_Tables_number 122
_symmetry_space_group_name_Hall 'I -4 2bw'
_cell_length_a 5.882
_cell_length_b 5.882
_cell_length_c 11.162
_cell_angle_alpha 90.00
_cell_angle_beta 90.00
_cell_angle_gamma 90.00
loop_
_atom_site_label
_atom_site_fract_x
_atom_site_fract_y
_atom_site_fract_z
Nb1 0.247 0.250 0.125
Tc1 0.000 0.000 0.000
Ir1 0.000 0.000 0.500



Entry 13:
# NbTc3Ir (PBE, relaxed)
# energy above the most stable polymorph in this dataset = 0 meV/atom
data_NbTc3Ir
_chemical_formula_sum 'Nb1 Tc3 Ir1'
_symmetry_space_group_name_H-M 'P m -3 m'
_symmetry_Int_Tables_number 221
_symmetry_space_group_name_Hall '-P 4 2 3'
_cell_length_a 4.645
_cell_length_b 4.645
_cell_length_c 4.645
_cell_angle_alpha 90.00
_cell_angle_beta 90.00
_cell_angle_gamma 90.00
loop_
_atom_site_label
_atom_site_fract_x
_atom_site_fract_y
_atom_site_fract_z
Nb1 0.000 0.000 0.000
Tc1 0.000 0.500 0.500
Ir1 0.500 0.500 0.500



Entry 14:
# NbTc2Ir2 (PBE, relaxed)
# energy above the most stable polymorph in this dataset = 0 meV/atom
data_NbTc2Ir2
_chemical_formula_sum 'Nb2 Tc4 Ir4'
_symmetry_space_group_name_H-M 'P 4/m b m'
_symmetry_Int_Tables_number 127
_symmetry_space_group_name_Hall '-P 4 2ab'
_cell_length_a 7.545
_cell_length_b 7.545
_cell_length_c 2.762
_cell_angle_alpha 90.00
_cell_angle_beta 90.00
_cell_angle_gamma 90.00
loop_
_atom_site_label
_atom_site_fract_x
_atom_site_fract_y
_atom_site_fract_z
Nb1 0.000 0.000 0.000
Tc1 0.122 0.378 0.000
Ir1 0.173 0.673 0.500



Entry 15:
# NbTc2Ir2 (PBE, relaxed)
# energy above the most stable polymorph in this dataset = 9 meV/atom
data_NbTc2Ir2
_chemical_formula_sum 'Nb2 Tc4 Ir4'
_symmetry_space_group_name_H-M 'P 4/m b m'
_symmetry_Int_Tables_number 127
_symmetry_space_group_name_Hall '-P 4 2ab'
_cell_length_a 7.558
_cell_length_b 7.558
_cell_length_c 2.760
_cell_angle_alpha 90.00
_cell_angle_beta 90.00
_cell_angle_gamma 90.00
loop_
_atom_site_label
_atom_site_fract_x
_atom_site_fract_y
_atom_site_fract_z
Nb1 0.000 0.000 0.000
Tc1 0.173 0.327 0.500
Ir1 0.124 0.624 0.000



Entry 16:
# NbTcIr6 (PBE, relaxed)
# E = -9.523 eV/atom
data_NbTcIr6
_chemical_formula_sum 'Nb1 Tc1 Ir6'
_symmetry_space_group_name_H-M 'P 4/m m m'
_symmetry_Int_Tables_number 123
_symmetry_space_group_name_Hall '-P 4 2'
_cell_length_a 5.521
_cell_length_b 5.521
_cell_length_c 3.896
_cell_angle_alpha 90.00
_cell_angle_beta 90.00
_cell_angle_gamma 90.00
loop_
_atom_site_label
_atom_site_fract_x
_atom_site_fract_y
_atom_site_fract_z
Nb1 0.000 0.000 0.000
Tc1 0.500 0.500 0.000
Ir1 0.000 0.500 0.000
Ir2 0.255 0.255 0.500



Entry 17:
# Nb2Tc2Ir (PBE, relaxed)
# E = -9.845 eV/atom
data_Nb2Tc2Ir
_chemical_formula_sum 'Nb4 Tc4 Ir2'
_symmetry_space_group_name_H-M 'P 4/m b m'
_symmetry_Int_Tables_number 127
_symmetry_space_group_name_Hall '-P 4 2ab'
_cell_length_a 7.193
_cell_length_b 7.193
_cell_length_c 3.208
_cell_angle_alpha 90.00
_cell_angle_beta 90.00
_cell_angle_gamma 90.00
loop_
_atom_site_label
_atom_site_fract_x
_atom_site_fract_y
_atom_site_fract_z
Nb1 0.188 0.312 0.000
Tc1 0.122 0.622 0.500
Ir1 0.000 0.000 0.500



Entry 18:
# NbTcIr3 (PBE, relaxed)
# energy above the most stable polymorph in this dataset = 1878 meV/atom
data_NbTcIr3
_chemical_formula_sum 'Nb1 Tc1 Ir3'
_symmetry_space_group_name_H-M 'P m -3 m'
_symmetry_Int_Tables_number 221
_symmetry_space_group_name_Hall '-P 4 2 3'
_cell_length_a 4.649
_cell_length_b 4.649
_cell_length_c 4.649
_cell_angle_alpha 90.00
_cell_angle_beta 90.00
_cell_angle_gamma 90.00
loop_
_atom_site_label
_atom_site_fract_x
_atom_site_fract_y
_atom_site_fract_z
Nb1 0.000 0.000 0.000
Tc1 0.500 0.500 0.500
Ir1 0.000 0.500 0.500



Entry 19:
# NbTcIr3 (PBE, relaxed)
# energy above the most stable polymorph in this dataset = 498 meV/atom
data_NbTcIr3
_chemical_formula_sum 'Nb4 Tc4 Ir12'
_symmetry_space_group_name_H-M 'C m c m'
_symmetry_Int_Tables_number 63
_symmetry_space_group_name_Hall '-C 2c 2'
_cell_length_a 7.046
_cell_length_b 9.056
_cell_length_c 5.440
_cell_angle_alpha 90.00
_cell_angle_beta 90.00
_cell_angle_gamma 90.00
loop_
_atom_site_label
_atom_site_fract_x
_atom_site_fract_y
_atom_site_fract_z
Nb1 0.000 0.229 0.250
Tc1 0.000 0.500 0.000
Ir1 0.000 0.252 0.750
Ir2 0.191 0.014 0.750



Entry 20:
# Nb5Tc4Ir (PBE, relaxed)
# E = -10.397 eV/atom
data_Nb5Tc4Ir
_chemical_formula_sum 'Nb5 Tc4 Ir1'
_symmetry_space_group_name_H-M 'P 4/m m m'
_symmetry_Int_Tables_number 123
_symmetry_space_group_name_Hall '-P 4 2'
_cell_length_a 3.206
_cell_length_b 3.206
_cell_length_c 15.886
_cell_angle_alpha 90.00
_cell_angle_beta 90.00
_cell_angle_gamma 90.00
loop_
_atom_site_label
_atom_site_fract_x
_atom_site_fract_y
_atom_site_fract_z
Nb1 0.000 0.000 0.000
Nb2 0.000 0.000 0.200
Nb3 0.000 0.000 0.397
Tc1 0.500 0.500 0.100
Tc2 0.500 0.500 0.301
Ir1 0.500 0.500 0.500



Entry 21:
# Nb6Tc5Ir (PBE, relaxed)
# E = -10.426 eV/atom
data_Nb6Tc5Ir
_chemical_formula_sum 'Nb12 Tc10 Ir2'
_symmetry_space_group_name_H-M 'C 1 2/m 1'
_symmetry_Int_Tables_number 12
_cell_length_a 14.284
_cell_length_b 6.389
_cell_length_c 4.514
_cell_angle_alpha 90.00
_cell_angle_beta 108.36
_cell_angle_gamma 90.00
loop_
_symmetry_equiv_pos_as_xyz
'x,y,z'
'-x,-y,-z'
'-x,y,-z'
'x,-y,z'
'x+1/2,y+1/2,z'
'-x+1/2,-y+1/2,-z'
'-x+1/2,y+1/2,-z'
'x+1/2,-y+1/2,z'
loop_
_atom_site_label
_atom_site_fract_x
_atom_site_fract_y
_atom_site_fract_z
Nb1 0.000 0.244 0.000
Nb2 0.169 0.248 0.669
Tc1 0.000 0.000 0.500
Tc2 0.164 0.500 0.164
Tc3 0.167 0.000 0.167
Ir1 0.000 0.500 0.500



Entry 22:
# Nb2TcTeIr (PBE, relaxed)
# E = -6.725 eV/atom
data_Nb2TcTeIr
_chemical_formula_sum 'Nb2 Tc1 Te1 Ir1'
_symmetry_space_group_name_H-M 'P 4/m m m'
_symmetry_Int_Tables_number 123
_symmetry_space_group_name_Hall '-P 4 2'
_cell_length_a 4.999
_cell_length_b 4.999
_cell_length_c 4.728
_cell_angle_alpha 90.00
_cell_angle_beta 90.00
_cell_angle_gamma 90.00
loop_
_atom_site_label
_atom_site_fract_x
_atom_site_fract_y
_atom_site_fract_z
Nb1 0.000 0.500 0.000
Tc1 0.000 0.000 0.500
Te1 0.500 0.500 0.000
Ir1 0.500 0.500 0.500



Entry 23:
# TiNb2TcIr (PBE, relaxed)
# E = -8.208 eV/atom
data_TiNb2TcIr
_chemical_formula_sum 'Ti1 Nb2 Tc1 Ir1'
_symmetry_space_group_name_H-M 'P 4/m m m'
_symmetry_Int_Tables_number 123
_symmetry_space_group_name_Hall '-P 4 2'
_cell_length_a 4.603
_cell_length_b 4.603
_cell_length_c 4.368
_cell_angle_alpha 90.00
_cell_angle_beta 90.00
_cell_angle_gamma 90.00
loop_
_atom_site_label
_atom_site_fract_x
_atom_site_fract_y
_atom_site_fract_z
Ti1 0.000 0.000 0.000
Nb1 0.000 0.500 0.000
Tc1 0.000 0.000 0.500
Ir1 0.500 0.500 0.500



Entry 24:
# Nb2TlTcIr (PBE, relaxed)
# E = -5.887 eV/atom
data_Nb2TlTcIr
_chemical_formula_sum 'Nb2 Tl1 Tc1 Ir1'
_symmetry_space_group_name_H-M 'P 4/m m m'
_symmetry_Int_Tables_number 123
_symmetry_space_group_name_Hall '-P 4 2'
_cell_length_a 5.030
_cell_length_b 5.030
_cell_length_c 4.842
_cell_angle_alpha 90.00
_cell_angle_beta 90.00
_cell_angle_gamma 90.00
loop_
_atom_site_label
_atom_site_fract_x
_atom_site_fract_y
_atom_site_fract_z
Nb1 0.000 0.500 0.000
Tl1 0.000 0.000 0.000
Tc1 0.500 0.500 0.500
Ir1 0.000 0.000 0.500



Entry 25:
# NbVTcIr (PBE, relaxed)
# E = -9.866 eV/atom
data_NbVTcIr
_chemical_formula_sum 'Nb4 V4 Tc4 Ir4'
_symmetry_space_group_name_H-M 'F -4 3 m'
_symmetry_Int_Tables_number 216
_symmetry_space_group_name_Hall 'F -4 2 3'
_cell_length_a 6.257
_cell_length_b 6.257
_cell_length_c 6.257
_cell_angle_alpha 90.00
_cell_angle_beta 90.00
_cell_angle_gamma 90.00
loop_
_atom_site_label
_atom_site_fract_x
_atom_site_fract_y
_atom_site_fract_z
Nb1 0.000 0.000 0.000
V1 0.000 0.000 0.500
Tc1 0.250 0.250 0.250
Ir1 0.250 0.250 0.750